# 1
{"formula": "Tl2CdPd9", "functional": "PBE", "state": "optimized geometry", "lattice_angstrom": [[-1.631, 2.653, 2.612], [-0.415, -2.963, 2.751], [11.100, 2.513, 4.380]], "species": ["Pd", "Pd", "Pd", "Pd", "Pd", "Pd", "Pd", "Pd", "Pd", "Tl", "Tl", "Cd"], "fractional_positions": [[0.500, 0.500, 0.332], [0.500, 0.500, 0.000], [0.000, 0.500, 0.836], [0.500, 0.500, 0.668], [0.500, 0.000, 0.500], [0.500, 0.000, 0.836], [0.000, 0.500, 0.164], [0.500, 0.000, 0.164], [0.000, 0.500, 0.500], [0.000, 0.000, 0.332], [0.000, 0.000, 0.668], [0.000, 0.000, 0.000]], "total_energy_ev_per_atom": -4.56}

# 2
{"formula": "Ac3In2Ru2", "functional": "PBE", "state": "optimized geometry", "lattice_angstrom": [[-3.461, 3.391, -0.145], [-2.902, -3.042, -1.884], [0.283, -2.763, 9.654]], "species": ["Ac", "Ac", "Ac", "In", "In", "Ru", "Ru"], "fractional_positions": [[0.000, 0.000, 0.000], [0.325, 0.825, 0.651], [0.675, 0.175, 0.349], [0.866, 0.366, 0.732], [0.134, 0.634, 0.268], [0.437, 0.437, 0.874], [0.563, 0.563, 0.126]], "total_energy_ev_per_atom": -5.44}

# 3
{"formula": "ReTc2B", "functional": "PBE", "state": "optimized geometry", "lattice_angstrom": [[-4.971, -1.462, 0.219], [1.203, -3.554, 3.580], [-2.715, 0.860, 5.522]], "species": ["Tc", "Tc", "Tc", "Tc", "Re", "Re", "B", "B"], "fractional_positions": [[0.191, 0.625, 0.250], [0.559, 0.125, 0.250], [0.375, 0.441, 0.750], [0.875, 0.809, 0.750], [0.000, 0.000, 0.000], [0.750, 0.250, 0.500], [0.250, 0.750, 0.500], [0.500, 0.500, 0.000]], "total_energy_ev_per_atom": -9.00}

What are the ΔH_f (0 K) values for these records? In order: -0.20, -0.25, 0.96 eV per atom.